Entry from the Alexandria database: an optimized crystal structure of SmMnPbS4 (PBE-GGA).

The magnetic moment comes out at 4.00 μB per formula unit. Its space group is P2_1/m (11). The density of states at the Fermi level is 0.282 states/eV per atom. As for the formation energy without anion corrections: -1.000 eV per atom.

abc: 6.755 6.107 8.235
angles: 90.00 107.49 90.00
Sites, in units of the cell vectors:
Sm 0.758 0.750 0.441
Sm 0.242 0.250 0.559
Mn 0.230 0.750 0.316
Mn 0.770 0.250 0.684
Pb 0.714 0.750 0.939
Pb 0.286 0.250 0.061
S 0.011 0.508 0.733
S 0.989 0.008 0.267
S 0.989 0.492 0.267
S 0.011 0.992 0.733
S 0.427 0.750 0.130
S 0.573 0.250 0.870
S 0.428 0.750 0.593
S 0.572 0.250 0.407


Entry from the Alexandria database: an optimized crystal structure of PrZrGe2Rh5 (PBE-GGA).

The magnetic moment comes out at 0.00 μB per formula unit. Its space group is P4/mmm (123). The density of states at the Fermi level is 0.749 states/eV per atom. The calculated formation energy is -459 meV per atom.

abc: 4.018 4.018 11.259
angles: 90.00 90.00 90.00
Sites, in units of the cell vectors:
Pr 0.000 0.000 0.500
Zr 0.000 0.000 0.000
Ge 0.500 0.500 0.286
Ge 0.500 0.500 0.714
Rh 0.000 0.500 0.164
Rh 0.500 0.000 0.164
Rh 0.000 0.500 0.836
Rh 0.500 0.000 0.836
Rh 0.500 0.500 0.500


Entry from the Alexandria database: an optimized crystal structure of SmErRu2 (PBE-GGA).

The magnetic moment comes out at 0.00 μB per formula unit. Its space group is Cmcm (63). The density of states at the Fermi level is 0.827 states/eV per atom. The calculated formation energy is -270 meV per atom.

abc: 4.837 5.914 5.914
angles: 109.36 90.00 90.00
Sites, in units of the cell vectors:
Sm 0.250 0.873 0.127
Sm 0.750 0.127 0.873
Er 0.250 0.377 0.623
Er 0.750 0.623 0.377
Ru 0.750 0.622 0.872
Ru 0.750 0.128 0.378
Ru 0.250 0.378 0.128
Ru 0.250 0.872 0.622


> Look up the magnetic moment of the first one.

4.00 μB per formula unit


> What is the magnetic moment in the third record?

0.00 μB per formula unit